(1)
# LiErTmRh PBE optimized geometry
# - energy relative to the elements (eV per atom) = -0.529
data_LiErTmRh
_chemical_formula_sum 'Li1 Er1 Tm1 Rh1'
_cell_length_a 4.873
_cell_length_b 4.873
_cell_length_c 4.873
_cell_angle_alpha 60.00
_cell_angle_beta 60.00
_cell_angle_gamma 60.00
_space_group_name_H-M_alt 'P 1'
_space_group_IT_number 1
loop_
_space_group_symop_operation_xyz
'x,y,z'
loop_
_atom_site_label
_atom_site_fract_x
_atom_site_fract_y
_atom_site_fract_z
Rh1 0.500 0.500 0.500
Tm1 0.250 0.250 0.250
Li1 0.000 0.000 0.000
Er1 0.750 0.750 0.750



(2)
# LiYEr2Rh4 PBE optimized geometry
# - energy relative to the elements (eV per atom) = -0.734
data_LiYEr2Rh4
_chemical_formula_sum 'Li1 Y1 Er2 Rh4'
_cell_length_a 4.684
_cell_length_b 4.684
_cell_length_c 8.155
_cell_angle_alpha 73.31
_cell_angle_beta 73.31
_cell_angle_gamma 60.00
_space_group_name_H-M_alt 'P 1'
_space_group_IT_number 1
loop_
_space_group_symop_operation_xyz
'x,y,z'
loop_
_atom_site_label
_atom_site_fract_x
_atom_site_fract_y
_atom_site_fract_z
Y1 0.000 0.000 0.000
Rh1 0.124 0.124 0.628
Rh2 0.377 0.377 0.869
Li1 0.500 0.500 0.500
Er1 0.242 0.242 0.274
Er2 0.758 0.758 0.726
Rh3 0.876 0.876 0.372
Rh4 0.623 0.623 0.131



(3)
# LiYErRh PBE optimized geometry
# - energy relative to the elements (eV per atom) = -0.496
data_LiYErRh
_chemical_formula_sum 'Li1 Y1 Er1 Rh1'
_cell_length_a 4.918
_cell_length_b 4.918
_cell_length_c 4.918
_cell_angle_alpha 60.00
_cell_angle_beta 60.00
_cell_angle_gamma 60.00
_space_group_name_H-M_alt 'P 1'
_space_group_IT_number 1
loop_
_space_group_symop_operation_xyz
'x,y,z'
loop_
_atom_site_label
_atom_site_fract_x
_atom_site_fract_y
_atom_site_fract_z
Li1 0.000 0.000 0.000
Er1 0.250 0.250 0.250
Y1 0.750 0.750 0.750
Rh1 0.500 0.500 0.500



(4)
# LiErZrRh PBE optimized geometry
# - energy relative to the elements (eV per atom) = -0.385
data_LiErZrRh
_chemical_formula_sum 'Li1 Er1 Zr1 Rh1'
_cell_length_a 4.779
_cell_length_b 4.779
_cell_length_c 4.779
_cell_angle_alpha 60.00
_cell_angle_beta 60.00
_cell_angle_gamma 60.00
_space_group_name_H-M_alt 'P 1'
_space_group_IT_number 1
loop_
_space_group_symop_operation_xyz
'x,y,z'
loop_
_atom_site_label
_atom_site_fract_x
_atom_site_fract_y
_atom_site_fract_z
Li1 0.000 0.000 0.000
Rh1 0.500 0.500 0.500
Er1 0.750 0.750 0.750
Zr1 0.250 0.250 0.250



(5)
# LiErZr2Rh4 PBE optimized geometry
# - energy relative to the elements (eV per atom) = -0.744
data_LiErZr2Rh4
_chemical_formula_sum 'Li1 Er1 Zr2 Rh4'
_cell_length_a 4.592
_cell_length_b 4.592
_cell_length_c 7.994
_cell_angle_alpha 73.31
_cell_angle_beta 73.31
_cell_angle_gamma 60.00
_space_group_name_H-M_alt 'P 1'
_space_group_IT_number 1
loop_
_space_group_symop_operation_xyz
'x,y,z'
loop_
_atom_site_label
_atom_site_fract_x
_atom_site_fract_y
_atom_site_fract_z
Li1 0.500 0.500 0.500
Rh1 0.875 0.875 0.374
Rh2 0.377 0.377 0.870
Rh3 0.623 0.623 0.130
Rh4 0.125 0.125 0.626
Zr1 0.757 0.757 0.728
Zr2 0.243 0.243 0.272
Er1 0.000 0.000 0.000



(6)
# LiEr12Ru6 PBE optimized geometry
# - energy relative to the elements (eV per atom) = -0.110
data_LiEr12Ru6
_chemical_formula_sum 'Li1 Er12 Ru6'
_cell_length_a 8.100
_cell_length_b 8.100
_cell_length_c 8.100
_cell_angle_alpha 101.15
_cell_angle_beta 101.15
_cell_angle_gamma 101.15
_space_group_name_H-M_alt 'P 1'
_space_group_IT_number 1
loop_
_space_group_symop_operation_xyz
'x,y,z'
loop_
_atom_site_label
_atom_site_fract_x
_atom_site_fract_y
_atom_site_fract_z
Ru1 0.385 0.697 0.861
Er1 0.416 0.557 0.176
Er2 0.665 0.922 0.068
Ru2 0.861 0.385 0.697
Er3 0.932 0.335 0.078
Er4 0.335 0.078 0.932
Ru3 0.303 0.139 0.615
Er5 0.824 0.584 0.443
Er6 0.068 0.665 0.922
Er7 0.443 0.824 0.584
Li1 0.000 0.000 0.000
Ru4 0.139 0.615 0.303
Er8 0.922 0.068 0.665
Er9 0.557 0.176 0.416
Ru5 0.697 0.861 0.385
Er10 0.176 0.416 0.557
Er11 0.584 0.443 0.824
Ru6 0.615 0.303 0.139
Er12 0.078 0.932 0.335



(7)
# LiEr4Ru PBE optimized geometry
# - energy relative to the elements (eV per atom) = 0.100
data_LiEr4Ru
_chemical_formula_sum 'Li2 Er8 Ru2'
_cell_length_a 7.860
_cell_length_b 7.860
_cell_length_c 7.860
_cell_angle_alpha 102.24
_cell_angle_beta 102.24
_cell_angle_gamma 125.16
_space_group_name_H-M_alt 'P 1'
_space_group_IT_number 1
loop_
_space_group_symop_operation_xyz
'x,y,z'
loop_
_atom_site_label
_atom_site_fract_x
_atom_site_fract_y
_atom_site_fract_z
Er1 0.266 0.574 0.308
Er2 0.764 0.001 0.763
Er3 0.751 0.488 0.737
Er4 0.238 0.001 0.237
Li1 0.934 0.434 0.500
Ru1 0.533 0.033 0.500
Li2 0.184 0.184 0.000
Er5 0.751 0.014 0.263
Er6 0.266 0.958 0.692
Er7 0.708 0.516 0.192
Ru2 0.783 0.783 0.000
Er8 0.324 0.516 0.808



(8)
# LiEr5Ru4 PBE optimized geometry
# - energy relative to the elements (eV per atom) = -0.361
data_LiEr5Ru4
_chemical_formula_sum 'Li1 Er5 Ru4'
_cell_length_a 3.383
_cell_length_b 3.383
_cell_length_c 18.037
_cell_angle_alpha 90.00
_cell_angle_beta 90.00
_cell_angle_gamma 90.00
_space_group_name_H-M_alt 'P 1'
_space_group_IT_number 1
loop_
_space_group_symop_operation_xyz
'x,y,z'
loop_
_atom_site_label
_atom_site_fract_x
_atom_site_fract_y
_atom_site_fract_z
Er1 0.500 0.500 0.130
Ru1 0.000 0.000 0.406
Ru2 0.000 0.000 0.785
Er2 0.500 0.500 0.315
Li1 0.000 0.000 0.000
Ru3 0.000 0.000 0.215
Ru4 0.000 0.000 0.594
Er3 0.500 0.500 0.685
Er4 0.500 0.500 0.500
Er5 0.500 0.500 0.870



(9)
# LiErSbRu PBE optimized geometry
# - formation energy without anion corrections (kJ/mol of formula units) = -202
data_LiErSbRu
_chemical_formula_sum 'Li1 Er1 Sb1 Ru1'
_cell_length_a 4.678
_cell_length_b 4.678
_cell_length_c 4.678
_cell_angle_alpha 60.00
_cell_angle_beta 60.00
_cell_angle_gamma 60.00
_space_group_name_H-M_alt 'P 1'
_space_group_IT_number 1
loop_
_space_group_symop_operation_xyz
'x,y,z'
loop_
_atom_site_label
_atom_site_fract_x
_atom_site_fract_y
_atom_site_fract_z
Er1 0.500 0.500 0.500
Li1 0.750 0.750 0.750
Ru1 0.250 0.250 0.250
Sb1 0.000 0.000 0.000



(10)
# LiErSiRu PBE optimized geometry
# - formation energy without anion corrections (kJ/mol of formula units) = -149
data_LiErSiRu
_chemical_formula_sum 'Li1 Er1 Si1 Ru1'
_cell_length_a 4.483
_cell_length_b 4.483
_cell_length_c 4.483
_cell_angle_alpha 60.00
_cell_angle_beta 60.00
_cell_angle_gamma 60.00
_space_group_name_H-M_alt 'P 1'
_space_group_IT_number 1
loop_
_space_group_symop_operation_xyz
'x,y,z'
loop_
_atom_site_label
_atom_site_fract_x
_atom_site_fract_y
_atom_site_fract_z
Li1 0.750 0.750 0.750
Ru1 0.250 0.250 0.250
Er1 0.000 0.000 0.000
Si1 0.500 0.500 0.500



(11)
# LiErSnRu PBE optimized geometry
# - energy relative to the elements (eV per atom) = -0.430
data_LiErSnRu
_chemical_formula_sum 'Li1 Er1 Sn1 Ru1'
_cell_length_a 4.703
_cell_length_b 4.703
_cell_length_c 4.703
_cell_angle_alpha 60.00
_cell_angle_beta 60.00
_cell_angle_gamma 60.00
_space_group_name_H-M_alt 'P 1'
_space_group_IT_number 1
loop_
_space_group_symop_operation_xyz
'x,y,z'
loop_
_atom_site_label
_atom_site_fract_x
_atom_site_fract_y
_atom_site_fract_z
Ru1 0.750 0.750 0.750
Sn1 0.500 0.500 0.500
Er1 0.000 0.000 0.000
Li1 0.250 0.250 0.250



(12)
# LiTbErRu PBE optimized geometry
# - energy relative to the elements (eV per atom) = -0.290
data_LiTbErRu
_chemical_formula_sum 'Li1 Tb1 Er1 Ru1'
_cell_length_a 4.896
_cell_length_b 4.896
_cell_length_c 4.896
_cell_angle_alpha 60.00
_cell_angle_beta 60.00
_cell_angle_gamma 60.00
_space_group_name_H-M_alt 'P 1'
_space_group_IT_number 1
loop_
_space_group_symop_operation_xyz
'x,y,z'
loop_
_atom_site_label
_atom_site_fract_x
_atom_site_fract_y
_atom_site_fract_z
Er1 0.000 0.000 0.000
Li1 0.250 0.250 0.250
Tb1 0.500 0.500 0.500
Ru1 0.750 0.750 0.750